Compound: YTeRuI2
Source: Alexandria via LeMat-Bulk
Functional: PBE
Structure: optimized geometry

Results
raw formation energy	0.37	eV/atom

Unit cell a=5.9011 b=5.9011 c=5.9975 alpha=90.00 beta=90.00 gamma=90.00
Closest atoms and distances in Å follow each position.
Space group P4/mmm (No. 123)
Symmetry-distinct sites (fractional):
Y1 0.0000 0.0000 0.0000 x1  4 I 2.95, 2 Te 3.00
Te1 0.0000 0.0000 0.5000 x1  2 Y 3.00
Ru1 0.5000 0.5000 0.5000 x1  4 Te 4.17, 8 I 4.21
I1 0.0000 0.5000 0.0000 x2  2 Y 2.95

***

Compound: YTeRuI2
Source: Alexandria via LeMat-Bulk
Functional: PBE
Structure: optimized geometry

Results
raw formation energy	0.03	eV/atom

Unit cell a=5.2540 b=5.2540 c=5.3866 alpha=90.00 beta=90.00 gamma=90.00
Closest atoms and distances in Å follow each position.
Space group P4/mmm (No. 123)
Symmetry-distinct sites (fractional):
Y1 0.0000 0.0000 0.0000 x1  4 Te 3.72, 8 I 3.76
Te1 0.5000 0.5000 0.0000 x1  2 Ru 2.69
Ru1 0.5000 0.5000 0.5000 x1  4 I 2.63, 2 Te 2.69
I1 0.0000 0.5000 0.5000 x2  2 Ru 2.63

***

Compound: ZrTeRuI2
Source: Alexandria via LeMat-Bulk
Functional: PBE
Structure: optimized geometry

Results
raw formation energy	0.63	eV/atom

Unit cell a=5.2066 b=5.2066 c=5.2725 alpha=90.00 beta=90.00 gamma=90.00
Closest atoms and distances in Å follow each position.
Space group P4/mmm (No. 123)
Symmetry-distinct sites (fractional):
Zr1 0.0000 0.0000 0.0000 x1  4 Te 3.68, 8 I 3.71
Te1 0.5000 0.5000 0.0000 x1  2 Ru 2.64
Ru1 0.5000 0.5000 0.5000 x1  4 I 2.60, 2 Te 2.64
I1 0.0000 0.5000 0.5000 x2  2 Ru 2.60

***

Compound: Th2RuI
Source: Alexandria via LeMat-Bulk
Functional: PBE
Structure: optimized geometry

Results
raw formation energy	-0.72	eV/atom

Unit cell a=4.1918 b=4.1918 c=24.7257 alpha=90.00 beta=90.00 gamma=120.00
Closest atoms and distances in Å follow each position.
Space group R-3m (No. 166, hexagonal axes)
Symmetry-distinct sites (fractional):
Th1 0.0000 0.0000 0.2254 x6  3 Ru 2.82
Ru1 0.0000 0.0000 0.5000 x3  6 Th 2.82
I1 0.0000 0.0000 0.0000 x3  6 Th 3.60

***

Number 1: size of the total moment 3.11 Bohr magnetons per cell. Number 2: size of the total moment 0.00 Bohr magnetons per cell. Number 3: size of the total moment 0.00 Bohr magnetons per cell. Number 4: size of the total moment 0.00 Bohr magnetons per cell.